Ho3FePt12 | PBE | optimized geometry

## Properties
energy = -6.7491 eV/atom
crystal system = tetragonal
density of states at the Fermi level = 14.297 states/eV/cell
density = 17.866 Mg/m³

Cell lengths 4.074, 4.074, 16.194 Å; angles 90.00, 90.00, 90.00 degrees
Space group P4/mmm (No. 123)
Unique sites:
Ho1 0.000 0.000 0.000 (multiplicity 1)
Ho2 0.000 0.000 0.255 (multiplicity 2)
Fe1 0.000 0.000 0.500 (multiplicity 1)
Pt1 0.000 0.500 0.128 (multiplicity 4)
Pt2 0.000 0.500 0.386 (multiplicity 4)
Pt3 0.500 0.500 0.000 (multiplicity 1)
Pt4 0.500 0.500 0.257 (multiplicity 2)
Pt5 0.500 0.500 0.500 (multiplicity 1)